Zn2CoO3: relaxed, PBE with a Hubbard U.

Properties
- uncorrected energy (Ry/atom) = -0.3706

Cell: 5.6642 5.6642 5.6651 Å, 99.61 99.61 120.03°
Closest atoms and distances in Å follow each position.
Fractional positions:
Zn 0.5947 0.4287 0.0075  4 O 2.00
Zn 0.7635 0.2621 0.5080  4 O 2.00
Zn 0.4287 0.5947 0.5075  4 O 2.00
Zn 0.2621 0.7635 0.0080  4 O 2.00
Co 0.0954 0.9282 0.5073  4 O 2.00
Co 0.9282 0.0954 0.0073  4 O 2.00
O 0.0540 0.2195 0.3823  2 Co 2.00, 2 Zn 2.00
O 0.2195 0.0540 0.8823  2 Co 2.00, 2 Zn 2.00
O 0.8870 0.3874 0.8833  1 Co 2.00, 3 Zn 2.00
O 0.3874 0.8870 0.3833  1 Co 2.00, 3 Zn 2.00
O 0.5534 0.7210 0.8829  1 Co 2.00, 3 Zn 2.00
O 0.7210 0.5534 0.3829  1 Co 2.00, 3 Zn 2.00